Here is an optimized crystal structure of Ta2ZnAs2 from the Alexandria database. Energies are from GGA-PBE.

The space group is I4/mmm (No. 139) and the conventional cell measures 4.377, 4.377 and 10.323 Å, with angles of 90.00, 90.00 and 90.00 degrees. The asymmetric unit holds Ta at (0.000, 0.500, 0.250), Zn at (0.000, 0.000, 0.000) and As at (0.000, 0.000, 0.382).

The density of states at the Fermi level comes out at 5.43 states/eV/cell. The value obtained for the calculated total energy is -67.8 eV/cell. For the total magnetic moment, the calculation gives 0.0 Bohr magnetons per cell.